## HfZr2Co2 (GGA-PBE)

Data for crystalline HfZr2Co2 at its relaxed geometry. Values from VASP.

ΔE to the lowest computed polymorph ... 0.0000 eV/atom
ΔE_f ... -0.244 eV/atom

Quantum ESPRESSO input file:
```
&SYSTEM
  ibrav = 0, nat = 10, ntyp = 3
/
ATOMIC_SPECIES
Co 58.93 Co.upf
Zr 91.22 Zr.upf
Hf 178.49 Hf.upf
ATOMIC_POSITIONS angstrom
Co -0.985 0.357 3.507
Co 3.189 2.145 0.725
Zr -0.667 1.256 6.186
Zr -1.559 -1.792 5.212
Hf -3.297 0.649 4.414
Co -3.209 -2.205 7.432
Co 0.965 -0.417 4.651
Hf -1.133 -3.727 2.765
Zr 1.539 1.732 2.945
Zr 0.647 -1.316 1.971
CELL_PARAMETERS angstrom
-0.043 -4.940 1.621
4.411 3.019 0.978
-4.388 1.861 5.559
```